Record 1
K2GeSb2: relaxed, GGA-PBE.

Summary:
Energy relative to the elements, uncorrected ... -0.20 eV per atom
M_tot ... 0.00 μB per formula unit
Mass density ... 3.884 g/cm³
Raw total energy ... -32.15 eV/cell

a = 7.738 Å, b = 7.738 Å, c = 5.631 Å
α = 90.00°, β = 90.00°, γ = 90.00°
Positions (direct):
Sb  0.368  0.868  0.000
K  0.174  0.674  0.500
Ge  0.000  0.000  0.000
K  0.326  0.174  0.500
Sb  0.132  0.368  0.000
Ge  0.500  0.500  0.000
Sb  0.632  0.132  0.000
Sb  0.868  0.632  0.000
K  0.826  0.326  0.500
K  0.674  0.826  0.500


Record 2
SrDy4ScS8: relaxed, GGA-PBE.

Summary:
Energy relative to the elements, uncorrected ... -1.96 eV per atom
M_tot ... 0.00 μB per formula unit
Mass density ... 4.618 g/cm³
Raw total energy ... -86.88 eV/cell

a = 8.146 Å, b = 8.146 Å, c = 8.025 Å
α = 59.50°, β = 59.50°, γ = 60.00°
Positions (direct):
Sr  0.379  0.379  0.863
S  0.224  0.763  0.250
Sc  0.003  0.003  0.992
Dy  0.494  0.002  0.502
S  0.763  0.224  0.250
S  0.757  0.757  0.728
Dy  0.623  0.623  0.130
S  0.228  0.796  0.747
Dy  0.002  0.494  0.502
Dy  0.002  0.002  0.502
S  0.237  0.237  0.288
S  0.228  0.228  0.747
S  0.796  0.228  0.747
S  0.763  0.763  0.250


Record 3
AlRh: relaxed, GGA-PBE.

Summary:
M_tot ... 0.00 μB per formula unit
Mass density ... 7.556 g/cm³
Energy relative to the elements ... -147 kJ/mol of formula units
Raw total energy ... -75.71 eV/cell

a = 4.868 Å, b = 5.304 Å, c = 7.285 Å
α = 80.49°, β = 90.74°, γ = 67.88°
Positions (direct):
Al  0.496  0.087  0.194
Al  0.073  0.265  0.650
Rh  0.038  0.432  0.969
Al  0.965  0.183  0.308
Al  0.522  0.469  0.835
Rh  0.500  0.579  0.170
Al  0.920  0.806  0.643
Rh  0.556  0.289  0.523
Al  0.032  0.929  0.998
Rh  0.972  0.665  0.330
Rh  0.528  0.962  0.870
Rh  0.398  0.836  0.507


Record 4
ScRe4B2: relaxed, GGA-PBE.

Summary:
M_tot ... 0.00 μB per formula unit
Mass density ... 14.134 g/cm³
Energy relative to the elements ... -53 kJ/mol of formula units
Raw total energy ... -70.02 eV/cell

a = 3.786 Å, b = 3.777 Å, c = 6.928 Å
α = 105.82°, β = 90.00°, γ = 90.00°
Positions (direct):
B  0.500  0.431  0.861
Sc  0.000  0.000  0.000
Re  0.000  0.322  0.644
Re  0.000  0.678  0.356
B  0.500  0.569  0.139
Re  0.500  0.829  0.658
Re  0.500  0.171  0.342